This record from the Alexandria database describes a relaxed CaCu crystal. The functional is PBE.

CIF file:
```
data_CaCu
_chemical_formula_sum 'Ca2 Cu2'
_cell_length_a 3.8829
_cell_length_b 3.8829
_cell_length_c 8.2931
_cell_angle_alpha 90.00
_cell_angle_beta 90.00
_cell_angle_gamma 120.00
_symmetry_space_group_name_H-M 'P -3 m 1'
_symmetry_Int_Tables_number 164
_symmetry_space_group_name_Hall '-P 3 2"'
loop_
_atom_site_label
_atom_site_fract_x
_atom_site_fract_y
_atom_site_fract_z
_atom_site_occupancy
Ca1 0.3333 0.6667 0.2018 1
Cu1 0.3333 0.6667 0.5619 1
```

Results
Spin magnetization in μB per formula unit: 0.0
Electronic total energy in eV/atom: -2.94
Formation energy from the elements in eV per atom: 0.107